## Ca3TlIr (GGA-PBEsol)

Data for a relaxed structure of Ca3TlIr.

Unit cell a=5.589 b=5.589 c=5.589 alpha=90.00 beta=90.00 gamma=90.00
Fractional positions:
Tl 0.000 0.000 0.000
Ir 0.500 0.500 0.500
Ca 0.000 0.500 0.000
Ca 0.000 0.000 0.500
Ca 0.500 0.000 0.000

Results
- total magnetization (μB/cell) = 0.5
- calculated volume (Å³/f.u.) = 174.6



## CaTl2ZnIr (GGA-PBEsol)

Data for a relaxed structure of CaTl2ZnIr.

Unit cell a=5.199 b=5.199 c=5.343 alpha=90.00 beta=90.00 gamma=90.00
Fractional positions:
Tl 0.000 0.500 0.000
Tl 0.500 0.000 0.000
Ir 0.000 0.000 0.000
Zn 0.500 0.500 0.500
Ca 0.000 0.000 0.500

Results
- total magnetization (μB/cell) = 0.0
- calculated volume (Å³/f.u.) = 144.4



## Ca2IrW (GGA-PBEsol)

Data for a relaxed structure of Ca2IrW.

Unit cell a=3.132 b=4.751 c=4.971 alpha=90.00 beta=90.00 gamma=90.00
Fractional positions:
Ca 0.000 0.000 0.000
Ca 0.500 0.500 0.000
Ir 0.500 0.000 0.500
W 0.000 0.500 0.500

Results
- total magnetization (μB/cell) = 0.0
- calculated volume (Å³/f.u.) = 74.0
- excess energy over the best structure of this formula in the dataset (kcal/mol of atoms) = 0.48



## Ca2IrW (GGA-PBEsol)

Data for a relaxed structure of Ca2IrW.

Unit cell a=3.930 b=3.930 c=4.882 alpha=90.00 beta=90.00 gamma=90.00
Fractional positions:
Ca 0.000 0.500 0.000
Ca 0.500 0.000 0.000
Ir 0.500 0.500 0.500
W 0.000 0.000 0.500

Results
- total magnetization (μB/cell) = 0.0
- calculated volume (Å³/f.u.) = 75.4
- excess energy over the best structure of this formula in the dataset (kcal/mol of atoms) = 0.00



## CaIrW3 (GGA-PBEsol)

Data for a relaxed structure of CaIrW3.

Unit cell a=4.420 b=4.420 c=4.420 alpha=90.00 beta=90.00 gamma=90.00
Fractional positions:
Ca 0.000 0.000 0.000
Ir 0.500 0.500 0.500
W 0.000 0.500 0.000
W 0.000 0.000 0.500
W 0.500 0.000 0.000

Results
- total magnetization (μB/cell) = 0.0
- calculated volume (Å³/f.u.) = 86.4



## CaY2Ir2 (GGA-PBEsol)

Data for a relaxed structure of CaY2Ir2.

Unit cell a=3.636 b=7.786 c=7.786 alpha=90.00 beta=90.00 gamma=90.00
Fractional positions:
Y 0.500 0.152 0.652
Y 0.500 0.652 0.848
Y 0.500 0.848 0.348
Y 0.500 0.348 0.152
Ca 0.000 0.000 0.000
Ca 0.000 0.500 0.500
Ir 0.000 0.360 0.860
Ir 0.000 0.860 0.640
Ir 0.000 0.640 0.140
Ir 0.000 0.140 0.360

Results
- total magnetization (μB/cell) = 0.0
- calculated volume (Å³/f.u.) = 110.2



## CaYIr2 (GGA-PBEsol)

Data for a relaxed structure of CaYIr2.

Unit cell a=4.269 b=4.269 c=7.292 alpha=73.01 beta=73.01 gamma=59.99
Fractional positions:
Y 0.456 0.456 0.630
Ca 0.286 0.286 0.141
Ir 0.046 0.046 0.863
Ir 0.712 0.712 0.865

Results
- total magnetization (μB/cell) = 0.0
- calculated volume (Å³/f.u.) = 108.4



## CaYIr2 (GGA-PBEsol)

Data for a relaxed structure of CaYIr2.

Unit cell a=3.710 b=3.710 c=5.934 alpha=90.00 beta=90.00 gamma=90.00
Fractional positions:
Y 0.000 0.000 0.438
Ca 0.500 0.500 0.802
Ir 0.000 0.000 0.990
Ir 0.500 0.500 0.269

Results
- total magnetization (μB/cell) = 0.0
- calculated volume (Å³/f.u.) = 81.7



## CaYIr4 (GGA-PBEsol)

Data for a relaxed structure of CaYIr4.

Unit cell a=5.295 b=5.295 c=5.295 alpha=60.00 beta=60.00 gamma=60.00
Fractional positions:
Y 0.750 0.750 0.750
Ca 0.000 0.000 0.000
Ir 0.375 0.375 0.375
Ir 0.375 0.375 0.875
Ir 0.875 0.375 0.375
Ir 0.375 0.875 0.375

Results
- total magnetization (μB/cell) = 0.0
- calculated volume (Å³/f.u.) = 105.0



## CaYIr2 (GGA-PBEsol)

Data for a relaxed structure of CaYIr2.

Unit cell a=3.455 b=3.455 c=7.891 alpha=90.00 beta=90.00 gamma=90.00
Fractional positions:
Y 0.000 0.000 0.416
Ca 0.500 0.500 0.819
Ir 0.000 0.000 0.079
Ir 0.500 0.500 0.186

Results
- total magnetization (μB/cell) = 0.4
- calculated volume (Å³/f.u.) = 94.2



## CaZn4Ir (GGA-PBEsol)

Data for a relaxed structure of CaZn4Ir.

Unit cell a=5.038 b=5.038 c=5.038 alpha=60.00 beta=60.00 gamma=60.00
Fractional positions:
Zn 0.374 0.374 0.374
Zn 0.374 0.374 0.879
Zn 0.879 0.374 0.374
Zn 0.374 0.879 0.374
Ir 0.000 0.000 0.000
Ca 0.750 0.750 0.750

Results
- total magnetization (μB/cell) = 0.0
- calculated volume (Å³/f.u.) = 90.4



## CaZn2Ir (GGA-PBEsol)

Data for a relaxed structure of CaZn2Ir.

Unit cell a=4.307 b=4.307 c=5.551 alpha=67.18 beta=67.18 gamma=60.00
Fractional positions:
Zn 0.979 0.978 0.065
Zn 0.701 0.701 0.898
Ir 0.314 0.314 0.058
Ca 0.507 0.507 0.479

Results
- total magnetization (μB/cell) = 0.0
- calculated volume (Å³/f.u.) = 79.7



no.,total energy (eV per atom)
1,-2.924
2,-3.633
3,-6.344
4,-6.365
5,-7.452
6,-7.654
7,-7.519
8,-7.068
9,-8.663
10,-7.145
11,-3.277
12,-4.040